[1]
First-principles (GGA-PBE) data for a geometry-optimized Li2Ir2O7 structure, as listed in Alexandria via LeMat-Bulk.

Structure (CIF):
```
data_Li2Ir2O7
_chemical_formula_sum 'Li4 Ir4 O14'
_cell_length_a 7.213
_cell_length_b 6.437
_cell_length_c 5.140
_cell_angle_alpha 90.00
_cell_angle_beta 90.11
_cell_angle_gamma 90.00
_symmetry_space_group_name_H-M 'C 1 2/m 1'
_symmetry_Int_Tables_number 12
_symmetry_space_group_name_Hall '-C 2y'
loop_
_atom_site_label
_atom_site_type_symbol
_atom_site_fract_x
_atom_site_fract_y
_atom_site_fract_z
Li1 Li 0.000 0.228 0.000
Ir1 Ir 0.228 0.000 0.500
O1 O 0.000 0.000 0.287
O2 O 0.000 0.500 0.500
O3 O 0.250 0.250 0.262
```

Values from the calculation:
The calculation puts the calculated volume at 238.67 Å³ per cell. The value obtained for the raw formation energy is -8.93 eV per formula unit. The total magnetic moment comes out at 0.00 μB/cell. The density of states at the Fermi level comes out at 4.99 states/eV/f.u. As for the polymorph energy (0 for the lowest one): 0.044 eV per atom. As for the total energy: -5.926 eV per atom.

=====

[2]
First-principles (GGA-PBE) data for a geometry-optimized SmScSbTe structure, as listed in Alexandria via LeMat-Bulk.

Structure (CIF):
```
data_SmScSbTe
_chemical_formula_sum 'Sm3 Sc3 Sb3 Te3'
_cell_length_a 4.3110
_cell_length_b 4.3110
_cell_length_c 21.2216
_cell_angle_alpha 90.00
_cell_angle_beta 90.00
_cell_angle_gamma 120.00
_symmetry_space_group_name_H-M 'R 3 m'
_symmetry_Int_Tables_number 160
_symmetry_space_group_name_Hall 'R 3 -2"'
loop_
_atom_site_label
_atom_site_type_symbol
_atom_site_fract_x
_atom_site_fract_y
_atom_site_fract_z
Sm1 Sm 0.0000 0.0000 0.0000
Sc1 Sc 0.0000 0.0000 0.4924
Sb1 Sb 0.0000 0.0000 0.7534
Te1 Te 0.0000 0.0000 0.2396
```

Values from the calculation:
The calculation puts the calculated volume at 341.56 Å³ per cell. The value obtained for the raw formation energy is -4.73 eV per formula unit. The total magnetic moment comes out at 0.00 μB/cell. The density of states at the Fermi level comes out at 1.97 states/eV/f.u. As for the total energy: -5.760 eV per atom.

=====

[3]
First-principles (GGA-PBE) data for a geometry-optimized MgGaAgO structure, as listed in Alexandria via LeMat-Bulk.

Structure (CIF):
```
data_MgGaAgO
_chemical_formula_sum 'Mg3 Ga3 Ag3 O3'
_cell_length_a 3.1472
_cell_length_b 3.1472
_cell_length_c 21.8133
_cell_angle_alpha 90.00
_cell_angle_beta 90.00
_cell_angle_gamma 120.00
_symmetry_space_group_name_H-M 'R 3 m'
_symmetry_Int_Tables_number 160
_symmetry_space_group_name_Hall 'R 3 -2"'
loop_
_atom_site_label
_atom_site_type_symbol
_atom_site_fract_x
_atom_site_fract_y
_atom_site_fract_z
Mg1 Mg 0.0000 0.0000 0.0000
Ga1 Ga 0.0000 0.0000 0.7938
Ag1 Ag 0.0000 0.0000 0.2225
O1 O 0.0000 0.0000 0.7046
```

Values from the calculation:
The calculation puts the calculated volume at 187.12 Å³ per cell. The value obtained for the raw formation energy is -4.31 eV per formula unit. The total magnetic moment comes out at 0.00 μB/cell. The density of states at the Fermi level comes out at 0.31 states/eV/f.u. As for the polymorph energy (0 for the lowest one): 0.000 eV per atom. As for the total energy: -4.185 eV per atom.

=====

[4]
First-principles (GGA-PBE) data for a geometry-optimized CsSn2I2 structure, as listed in Alexandria via LeMat-Bulk.

Structure (CIF):
```
data_CsSn2I2
_chemical_formula_sum 'Cs2 Sn4 I4'
_cell_length_a 9.728
_cell_length_b 9.728
_cell_length_c 4.959
_cell_angle_alpha 90.00
_cell_angle_beta 90.00
_cell_angle_gamma 90.00
_symmetry_space_group_name_H-M 'P 4/m b m'
_symmetry_Int_Tables_number 127
_symmetry_space_group_name_Hall '-P 4 2ab'
loop_
_atom_site_label
_atom_site_type_symbol
_atom_site_fract_x
_atom_site_fract_y
_atom_site_fract_z
Cs1 Cs 0.000 0.000 0.000
Sn1 Sn 0.101 0.399 0.000
I1 I 0.147 0.647 0.500
```

Values from the calculation:
The calculation puts the calculated volume at 469.21 Å³ per cell. The value obtained for the raw formation energy is -1.28 eV per formula unit. The total magnetic moment comes out at 0.00 μB/cell. The density of states at the Fermi level comes out at 2.41 states/eV/f.u. As for the polymorph energy (0 for the lowest one): 0.091 eV per atom. As for the total energy: -2.647 eV per atom.

=====

[5]
First-principles (GGA-PBE) data for a geometry-optimized K2CuAu structure, as listed in Alexandria via LeMat-Bulk.

Structure (CIF):
```
data_K2CuAu
_chemical_formula_sum 'K2 Cu1 Au1'
_cell_length_a 4.798
_cell_length_b 4.798
_cell_length_c 6.784
_cell_angle_alpha 90.00
_cell_angle_beta 90.00
_cell_angle_gamma 90.00
_symmetry_space_group_name_H-M 'P 4 m m'
_symmetry_Int_Tables_number 99
_symmetry_space_group_name_Hall 'P 4 -2'
loop_
_atom_site_label
_atom_site_type_symbol
_atom_site_fract_x
_atom_site_fract_y
_atom_site_fract_z
K1 K 0.000 0.000 0.000
K2 K 0.500 0.500 0.498
Cu1 Cu 0.500 0.500 0.996
Au1 Au 0.000 0.000 0.500
```

Values from the calculation:
The calculation puts the calculated volume at 156.16 Å³ per cell. The total magnetic moment comes out at 0.19 μB/cell. The formation energy comes out at 0.1393 eV per atom. As for the polymorph energy (0 for the lowest one): 0.199 eV per atom. As for the total energy: -2.253 eV per atom.

=====

[6]
First-principles (GGA-PBE) data for a geometry-optimized SnBiSe2 structure, as listed in Alexandria via LeMat-Bulk.

Structure (CIF):
```
data_SnBiSe2
_chemical_formula_sum 'Sn1 Bi1 Se2'
_cell_length_a 4.061
_cell_length_b 6.119
_cell_length_c 4.607
_cell_angle_alpha 90.00
_cell_angle_beta 90.00
_cell_angle_gamma 90.00
_symmetry_space_group_name_H-M 'P m m 2'
_symmetry_Int_Tables_number 25
_symmetry_space_group_name_Hall 'P 2 -2'
loop_
_atom_site_label
_atom_site_type_symbol
_atom_site_fract_x
_atom_site_fract_y
_atom_site_fract_z
Sn1 Sn 0.000 0.000 0.000
Bi1 Bi 0.500 0.500 0.496
Se1 Se 0.000 0.500 0.002
Se2 Se 0.500 0.000 0.438
```

Values from the calculation:
The calculation puts the calculated volume at 114.47 Å³ per cell. The value obtained for the raw formation energy is -1.15 eV per formula unit. The total magnetic moment comes out at 0.00 μB/cell. The density of states at the Fermi level comes out at 2.04 states/eV/f.u. As for the total energy: -4.002 eV per atom.